No. 1
First-principles (PBE-GGA) data for a relaxed structure of RhBr3Cl, as listed in Alexandria via LeMat-Bulk.

Structure (POSCAR):
```
RhBr3Cl
1.0
-0.543 2.503 4.347
-4.934 -1.052 -0.010
0.902 -4.252 2.561
Rh Br Cl
1 3 1
direct
0.000 0.000 0.000
0.000 0.500 0.000
0.000 0.000 0.500
0.500 0.000 0.000
0.500 0.500 0.500
```

Properties
Its theoretical density is 4.9 g/cm³. The density of states at the Fermi level is 8.74 states/eV per cell. Its space group is No. 221. Its energy is -2.652 eV/atom.

No. 2
First-principles (PBE-GGA) data for a relaxed structure of RhBrCl2, as listed in Alexandria via LeMat-Bulk.

Structure (POSCAR):
```
RhBrCl2
1.0
-1.511 3.222 -0.712
-3.688 -0.467 5.717
0.403 1.648 6.608
Rh Br Cl
1 1 2
direct
0.000 0.507 0.507
0.500 0.639 0.639
0.000 0.970 0.971
0.500 0.383 0.384
```

Properties
Its theoretical density is 3.9 g/cm³. The density of states at the Fermi level is 1.89 states/eV per cell. Its space group is No. 38. Its energy is -3.589 eV/atom.

No. 3
First-principles (PBE-GGA) data for a relaxed structure of Rh2BrCl, as listed in Alexandria via LeMat-Bulk.

Structure (POSCAR):
```
Rh2BrCl
1.0
4.602 0.000 0.000
2.301 3.985 0.000
2.301 1.328 3.757
Rh Br Cl
2 1 1
direct
0.000 0.000 0.000
0.250 0.250 0.250
0.500 0.500 0.500
0.750 0.750 0.750
```

Properties
Its theoretical density is 7.7 g/cm³. The density of states at the Fermi level is 3.01 states/eV per cell. Its space group is No. 216. Its energy is -3.772 eV/atom.

No. 4
First-principles (PBE-GGA) data for a relaxed structure of RhBr2Cl, as listed in Alexandria via LeMat-Bulk.

Structure (POSCAR):
```
RhBr2Cl
1.0
7.191 0.000 0.000
0.000 3.889 0.000
0.000 0.000 3.889
Rh Br Cl
1 2 1
direct
0.500 0.000 0.500
0.000 0.000 0.000
0.000 0.500 0.500
0.500 0.500 0.000
```

Properties
Its theoretical density is 4.6 g/cm³. The density of states at the Fermi level is 2.77 states/eV per cell. Its space group is No. 123. Its energy is -2.565 eV/atom.

No. 5
First-principles (PBE-GGA) data for a relaxed structure of RhBrCl2, as listed in Alexandria via LeMat-Bulk.

Structure (POSCAR):
```
RhBrCl2
1.0
-0.115 -2.706 -2.192
5.678 2.009 -2.777
6.418 -1.193 1.137
Rh Br Cl
1 1 2
direct
0.500 0.250 0.250
0.500 0.750 0.750
0.000 0.119 0.119
0.000 0.381 0.381
```

Properties
Its theoretical density is 3.9 g/cm³. The density of states at the Fermi level is 3.22 states/eV per cell. Its space group is No. 10. Its energy is -3.572 eV/atom.

No. 6
First-principles (PBE-GGA) data for a relaxed structure of RhBrCl2, as listed in Alexandria via LeMat-Bulk.

Structure (POSCAR):
```
RhBrCl2
1.0
-3.324 2.628 -2.748
-1.902 -2.734 3.744
-2.033 2.585 3.766
Rh Br Cl
1 1 2
direct
0.000 0.500 0.500
0.500 0.500 0.000
0.000 0.000 0.000
0.500 0.000 0.500
```

Properties
Its theoretical density is 4.5 g/cm³. The density of states at the Fermi level is 3.08 states/eV per cell. Its space group is No. 12. Its energy is -2.675 eV/atom.

No. 7
First-principles (PBE-GGA) data for a relaxed structure of RhBrCl2, as listed in Alexandria via LeMat-Bulk.

Structure (POSCAR):
```
RhBrCl2
1.0
-0.939 -3.929 5.687
3.963 -5.008 -2.806
5.290 -2.565 3.380
Rh Br Cl
2 2 4
direct
0.000 0.000 0.000
0.750 0.250 0.500
0.500 0.500 0.000
0.250 0.750 0.500
0.747 0.125 0.250
0.003 0.625 0.250
0.375 0.253 0.750
0.875 0.997 0.750
```

Properties
Its theoretical density is 3.7 g/cm³. The density of states at the Fermi level is 17.78 states/eV per cell. Its space group is No. 122. Its energy is -3.028 eV/atom.

No. 8
First-principles (PBE-GGA) data for a relaxed structure of Rh2BrCl, as listed in Alexandria via LeMat-Bulk.

Structure (POSCAR):
```
Rh2BrCl
1.0
3.133 0.000 0.000
0.000 3.133 0.000
0.000 0.000 7.955
Rh Br Cl
2 1 1
direct
0.000 0.000 0.029
0.500 0.500 0.213
0.000 0.000 0.423
0.500 0.500 0.836
```

Properties
Its theoretical density is 6.8 g/cm³. The density of states at the Fermi level is 1.65 states/eV per cell. Its space group is No. 99. Its energy is -4.333 eV/atom.

No. 9
First-principles (PBE-GGA) data for a relaxed structure of RhBr2Cl, as listed in Alexandria via LeMat-Bulk.

Structure (POSCAR):
```
RhBr2Cl
1.0
-2.453 -1.875 -0.644
0.855 -0.076 -3.035
5.774 -8.182 1.832
Rh Br Cl
1 2 1
direct
0.500 0.500 0.751
0.000 0.000 0.903
0.500 0.500 0.244
0.000 0.000 0.602
```

Properties
Its theoretical density is 4.9 g/cm³. The density of states at the Fermi level is 4.65 states/eV per cell. Its space group is No. 99. Its energy is -2.824 eV/atom.

No. 10
First-principles (PBE-GGA) data for a relaxed structure of RhBrCl2, as listed in Alexandria via LeMat-Bulk.

Structure (POSCAR):
```
RhBrCl2
1.0
3.615 -0.046 0.000
-2.229 2.846 0.000
0.000 0.000 10.620
Rh Br Cl
1 1 2
direct
0.500 0.500 0.250
0.500 0.500 0.750
0.000 0.000 0.088
0.000 0.000 0.412
```

Properties
Its theoretical density is 3.9 g/cm³. The density of states at the Fermi level is 4.50 states/eV per cell. Its space group is No. 65. Its energy is -3.197 eV/atom.

No. 11
First-principles (PBE-GGA) data for a relaxed structure of RhBrCl2, as listed in Alexandria via LeMat-Bulk.

Structure (POSCAR):
```
RhBrCl2
1.0
0.000 3.450 3.450
3.450 0.000 3.450
3.450 3.450 0.000
Rh Br Cl
1 1 2
direct
0.500 0.500 0.500
0.000 0.000 0.000
0.250 0.250 0.250
0.750 0.750 0.750
```

Properties
Its theoretical density is 5.1 g/cm³. The density of states at the Fermi level is 6.27 states/eV per cell. Its space group is No. 225. Its energy is -2.436 eV/atom.

No. 12
First-principles (PBE-GGA) data for a relaxed structure of RhBr2Cl, as listed in Alexandria via LeMat-Bulk.

Structure (POSCAR):
```
RhBr2Cl
1.0
-6.513 6.249 7.269
-5.885 3.951 9.169
-3.942 6.283 8.904
Rh Br Cl
1 2 1
direct
0.000 0.000 0.000
0.931 0.931 0.931
0.069 0.069 0.069
0.500 0.500 0.500
```

Properties
Its theoretical density is 5.4 g/cm³. The density of states at the Fermi level is 3.60 states/eV per cell. Its space group is No. 166. Its energy is -2.766 eV/atom.

Number 1: spin magnetization 0.90 μB per cell. Number 2: spin magnetization 0.00 μB per cell. Number 3: spin magnetization 0.00 μB per cell. Number 4: spin magnetization 1.84 μB per cell. Number 5: spin magnetization 0.00 μB per cell. Number 6: spin magnetization 1.72 μB per cell. Number 7: spin magnetization 0.00 μB per cell. Number 8: spin magnetization 0.00 μB per cell. Number 9: spin magnetization 0.88 μB per cell. Number 10: spin magnetization 1.09 μB per cell. Number 11: spin magnetization 3.35 μB per cell. Number 12: spin magnetization 0.00 μB per cell.